1.
Density functional theory data (SCAN) for a crystal of Ni7Pt4 relaxed with PBEsol.

Properties
The value obtained for the formation energy is -131.6 kJ/mol of formula units.

Cell lengths 4.436, 4.519, 6.853 Å; angles 96.39, 90.11, 99.24 degrees
Space group P-1 (No. 2)
Symmetry-distinct sites (fractional):
Ni 0.000 0.000 0.000 (multiplicity 1)
Ni 0.273 0.632 0.547 (multiplicity 2)
Ni 0.359 0.182 0.734 (multiplicity 2)
Ni 0.453 0.736 0.913 (multiplicity 2)
Pt 0.095 0.545 0.182 (multiplicity 2)
Pt 0.198 0.095 0.367 (multiplicity 2)

2.
Density functional theory data (SCAN) for a crystal of YAl2N relaxed with PBEsol.

Properties
As for the uncorrected formation energy: -0.260 eV/atom.

Cell lengths 6.101, 6.101, 8.115 Å; angles 90.00, 90.00, 90.00 degrees
Space group I-42d (No. 122)
Symmetry-distinct sites (fractional):
Y 0.000 0.000 0.000 (multiplicity 4)
Al 0.088 0.250 0.625 (multiplicity 8)
N 0.000 0.000 0.500 (multiplicity 4)

3.
Density functional theory data (SCAN) for a crystal of ScSiPt2 relaxed with PBEsol.

Properties
As for the uncorrected formation energy: -1.350 eV/atom.

Cell lengths 3.687, 9.726, 6.950 Å; angles 90.00, 90.00, 90.00 degrees
Space group Cmcm (No. 63)
Symmetry-distinct sites (fractional):
Sc 0.000 0.051 0.250 (multiplicity 4)
Si 0.000 0.232 0.750 (multiplicity 4)
Pt 0.000 0.362 0.049 (multiplicity 8)

4.
Density functional theory data (SCAN) for a crystal of Sc2Cd3Ge3O12 relaxed with PBEsol.

Properties
As for the uncorrected formation energy: -2.224 eV/atom.

Cell lengths 12.470, 12.470, 12.470 Å; angles 90.00, 90.00, 90.00 degrees
Space group Ia-3d (No. 230)
Symmetry-distinct sites (fractional):
Sc 0.000 0.000 0.000 (multiplicity 16)
Cd 0.000 0.250 0.125 (multiplicity 24)
Ge 0.000 0.250 0.375 (multiplicity 24)
O 0.034 0.053 0.655 (multiplicity 96)

5.
Density functional theory data (SCAN) for a crystal of TmTiO3 relaxed with PBEsol.

Properties
As for the uncorrected formation energy: -3.586 eV/atom.

Cell lengths 5.620, 7.520, 5.210 Å; angles 90.00, 90.00, 90.00 degrees
Space group Pnma (No. 62)
Symmetry-distinct sites (fractional):
Tm 0.076 0.250 0.025 (multiplicity 4)
Ti 0.000 0.000 0.500 (multiplicity 4)
O 0.052 0.750 0.369 (multiplicity 4)
O 0.195 0.561 0.814 (multiplicity 8)

6.
Density functional theory data (SCAN) for a crystal of HgH2O relaxed with PBEsol.

Properties
The value obtained for the total DFT energy (no corrections) is -653.5 eV for the cell shown.

Cell lengths 6.572, 6.572, 6.572 Å; angles 90.00, 90.00, 90.00 degrees
Space group Fd-3m (No. 227, origin choice 2)
Symmetry-distinct sites (fractional):
Hg 0.125 0.125 0.125 (multiplicity 8)
H 0.000 0.000 0.500 (multiplicity 16)
O 0.125 0.125 0.625 (multiplicity 8)

7.
Density functional theory data (SCAN) for a crystal of LiAs2Ru relaxed with PBEsol.

Properties
The value obtained for the formation energy is -142.2 kJ/mol of formula units.

Cell lengths 2.955, 3.011, 14.603 Å; angles 90.00, 90.00, 90.00 degrees
Space group Imm2 (No. 44)
Symmetry-distinct sites (fractional):
Li 0.000 0.000 0.000 (multiplicity 2)
As 0.000 0.000 0.380 (multiplicity 2)
As 0.000 0.500 0.151 (multiplicity 2)
Ru 0.000 0.500 0.745 (multiplicity 2)

8.
Density functional theory data (SCAN) for a crystal of Sc2Ge2Os relaxed with PBEsol.

Properties
The value obtained for the formation energy is -395.4 kJ/mol of formula units.

Cell lengths 6.510, 6.510, 3.963 Å; angles 90.00, 90.00, 90.00 degrees
Space group P4/mbm (No. 127)
Symmetry-distinct sites (fractional):
Sc 0.173 0.327 0.000 (multiplicity 4)
Ge 0.135 0.635 0.500 (multiplicity 4)
Os 0.000 0.000 0.500 (multiplicity 2)

9.
Density functional theory data (SCAN) for a crystal of Y3Be relaxed with PBEsol.

Properties
The value obtained for the formation energy is 80.2 kJ/mol of formula units. The calculation puts the relative energy among the computed polymorphs at 0.0 meV/atom.

Cell lengths 3.6313, 3.6313, 9.3519 Å; angles 90.00, 90.00, 120.00 degrees
Space group P-6m2 (No. 187)
Symmetry-distinct sites (fractional):
Y 0.0000 0.0000 0.0000 (multiplicity 1)
Y 0.3333 0.6667 0.3000 (multiplicity 2)
Be 0.0000 0.0000 0.5000 (multiplicity 1)

10.
Density functional theory data (SCAN) for a crystal of TiFe3Pt relaxed with PBEsol.

Properties
The value obtained for the formation energy is 532.3 kJ/mol of formula units.

Cell lengths 4.156, 4.156, 4.156 Å; angles 90.00, 90.00, 90.00 degrees
Space group Pm-3m (No. 221)
Symmetry-distinct sites (fractional):
Ti 0.000 0.000 0.000 (multiplicity 1)
Fe 0.000 0.000 0.500 (multiplicity 3)
Pt 0.500 0.500 0.500 (multiplicity 1)

11.
Density functional theory data (SCAN) for a crystal of Tc2HgPt relaxed with PBEsol.

Properties
The value obtained for the formation energy is 166.3 kJ/mol of formula units.

Cell lengths 3.791, 3.791, 4.301 Å; angles 90.00, 90.00, 90.00 degrees
Space group P4/mmm (No. 123)
Symmetry-distinct sites (fractional):
Tc 0.000 0.500 0.000 (multiplicity 2)
Hg 0.000 0.000 0.500 (multiplicity 1)
Pt 0.500 0.500 0.500 (multiplicity 1)

12.
Density functional theory data (SCAN) for a crystal of LiMn2Co relaxed with PBEsol.

Properties
The value obtained for the formation energy is 123.4 kJ/mol of formula units. The calculation puts the relative energy among the computed polymorphs at 171.2 meV/atom.

Cell lengths 4.593, 8.028, 2.314 Å; angles 90.00, 105.17, 90.00 degrees
Space group C2/m (No. 12)
Symmetry-distinct sites (fractional):
Li 0.000 0.000 0.000 (multiplicity 2)
Mn 0.250 0.250 0.500 (multiplicity 4)
Co 0.000 0.500 0.000 (multiplicity 2)

13.
Density functional theory data (SCAN) for a crystal of HfBe2Rh relaxed with PBEsol.

Properties
The value obtained for the formation energy is -7.1 kJ/mol of formula units.

Cell lengths 3.841, 3.841, 16.005 Å; angles 90.00, 90.00, 90.00 degrees
Space group I4_1/amd (No. 141, origin choice 2)
Symmetry-distinct sites (fractional):
Hf 0.000 0.250 0.375 (multiplicity 4)
Be 0.000 0.000 0.000 (multiplicity 8)
Rh 0.000 0.250 0.875 (multiplicity 4)

14.
Density functional theory data (SCAN) for a crystal of Ga2SnBr relaxed with PBEsol.

Properties
As for the uncorrected formation energy: 0.156 eV/atom.

Cell lengths 7.113, 7.113, 7.113 Å; angles 90.00, 90.00, 90.00 degrees
Space group Fm-3m (No. 225)
Symmetry-distinct sites (fractional):
Ga 0.250 0.250 0.250 (multiplicity 8)
Sn 0.000 0.000 0.000 (multiplicity 4)
Br 0.000 0.000 0.500 (multiplicity 4)

15.
Density functional theory data (SCAN) for a crystal of NaNd3Ti2Sb2O14 relaxed with PBEsol.

Properties
As for the uncorrected formation energy: -2.929 eV/atom. The calculation puts the relative energy among the computed polymorphs at 0.0 meV/atom.

Cell lengths 7.354, 7.294, 12.670 Å; angles 90.00, 125.14, 90.00 degrees
Space group P2/c (No. 13)
Symmetry-distinct sites (fractional):
Na 0.000 0.000 0.000 (multiplicity 2)
Nd 0.000 0.243 0.250 (multiplicity 2)
Nd 0.000 0.500 0.000 (multiplicity 2)
Nd 0.500 0.232 0.250 (multiplicity 2)
Ti 0.500 0.262 0.750 (multiplicity 2)
Ti 0.500 0.500 0.000 (multiplicity 2)
Sb 0.000 0.255 0.750 (multiplicity 2)
Sb 0.500 0.000 0.000 (multiplicity 2)
O 0.128 0.249 0.126 (multiplicity 4)
O 0.172 0.048 0.873 (multiplicity 4)
O 0.178 0.455 0.877 (multiplicity 4)
O 0.181 0.269 0.681 (multiplicity 4)
O 0.424 0.251 0.424 (multiplicity 4)
O 0.427 0.449 0.622 (multiplicity 4)
O 0.444 0.056 0.631 (multiplicity 4)

16.
Density functional theory data (SCAN) for a crystal of TlCuRu relaxed with PBEsol.

Properties
The value obtained for the formation energy is 174.9 kJ/mol of formula units. The calculation puts the relative energy among the computed polymorphs at 0.0 meV/atom.

Cell lengths 3.149, 3.149, 9.383 Å; angles 90.00, 90.00, 90.00 degrees
Space group I4mm (No. 107)
Symmetry-distinct sites (fractional):
Tl 0.000 0.000 0.000 (multiplicity 2)
Cu 0.000 0.000 0.322 (multiplicity 2)
Ru 0.000 0.000 0.687 (multiplicity 2)

17.
Density functional theory data (SCAN) for a crystal of MnV2Si6 relaxed with PBEsol.

Properties
As for the uncorrected formation energy: -0.392 eV/atom.

Cell lengths 4.425, 7.744, 6.314 Å; angles 90.00, 90.00, 90.00 degrees
Space group C222 (No. 21)
Symmetry-distinct sites (fractional):
Mn 0.000 0.000 0.000 (multiplicity 2)
V 0.250 0.250 0.670 (multiplicity 4)
Si 0.000 0.335 0.000 (multiplicity 4)
Si 0.248 0.418 0.332 (multiplicity 8)

18.
Density functional theory data (SCAN) for a crystal of NiRu2Pt relaxed with PBEsol.

Properties
The value obtained for the formation energy is 18.7 kJ/mol of formula units. The calculation puts the relative energy among the computed polymorphs at 42.1 meV/atom.

Cell lengths 8.751, 2.651, 4.590 Å; angles 90.00, 99.99, 90.00 degrees
Space group Cm (No. 8)
Symmetry-distinct sites (fractional):
Ni 0.000 0.000 0.000 (multiplicity 2)
Ru 0.248 0.500 0.255 (multiplicity 2)
Ru 0.496 0.000 0.478 (multiplicity 2)
Pt 0.250 0.000 0.760 (multiplicity 2)

19.
Density functional theory data (SCAN) for a crystal of Tb2Ni2Sn relaxed with PBEsol.

Properties
The value obtained for the formation energy is -300.8 kJ/mol of formula units.

Cell lengths 7.241, 7.241, 3.643 Å; angles 90.00, 90.00, 90.00 degrees
Space group P4/mbm (No. 127)
Symmetry-distinct sites (fractional):
Tb 0.176 0.324 0.000 (multiplicity 4)
Ni 0.120 0.620 0.500 (multiplicity 4)
Sn 0.000 0.000 0.500 (multiplicity 2)

| no. | total magnetization (μB/f.u.) |
| --- | --- |
| 1 | 7.29 |
| 2 | 0.59 |
| 3 | 0.00 |
| 4 | 0.00 |
| 5 | 1.00 |
| 6 | 0.00 |
| 7 | 0.00 |
| 8 | 0.00 |
| 9 | 0.28 |
| 10 | 6.19 |
| 11 | 0.00 |
| 12 | 4.33 |
| 13 | 0.00 |
| 14 | 0.00 |
| 15 | 0.00 |
| 16 | 0.00 |
| 17 | 0.98 |
| 18 | 0.00 |
| 19 | 0.00 |